1.
A geometry-optimized PmTm3Sb4 structure, computed with PBE-GGA.

POSCAR file:
```
PmTm3Sb4
1.0
4.3755 -6.1905 0.0000
4.3755 6.1905 0.0000
0.0000 0.0000 4.3814
Pm Tm Sb
1 3 4
Direct
0.0000 0.0000 0.0000
0.0000 0.5000 0.5000
0.5000 0.0000 0.5000
0.5000 0.5000 0.0000
0.2535 0.7465 0.0000
0.2570 0.2570 0.5000
0.7430 0.7430 0.5000
0.7465 0.2535 0.0000
```

Properties
Raw total energy, eV per cell: -43.38
V, Å³/cell: 237
M_tot, Bohr magnetons per cell: 0.0
Excess energy over the best structure of this formula in the dataset, eV/atom: 0.000

---

2.
A geometry-optimized LiNdThIn structure, computed with PBE-GGA.

POSCAR file:
```
LiNdThIn
1.0
0.0000 3.8236 3.8236
3.8236 0.0000 3.8236
3.8236 3.8236 0.0000
Li Nd Th In
1 1 1 1
Direct
0.0000 0.0000 0.0000
0.7500 0.7500 0.7500
0.2500 0.2500 0.2500
0.5000 0.5000 0.5000
```

Properties
Raw total energy, eV per cell: -17.33
V, Å³/cell: 112
M_tot, Bohr magnetons per cell: 0.0
Calculated formation energy, eV/f.u.: -0.486

---

3.
A geometry-optimized NaH2I2 structure, computed with PBE-GGA.

POSCAR file:
```
NaH2I2
1.0
4.2323 -2.0929 0.0000
4.2323 2.0929 0.0000
-3.1397 0.0000 7.6787
Na H I
1 2 2
Direct
0.0000 0.0000 0.0000
0.4600 0.4600 0.7551
0.5400 0.5400 0.2449
0.2385 0.2385 0.7453
0.7615 0.7615 0.2547
```

Properties
Raw total energy, eV per cell: -10.85
V, Å³/cell: 136
M_tot, Bohr magnetons per cell: 0.0
Excess energy over the best structure of this formula in the dataset, eV/atom: 0.461

---

4.
A geometry-optimized LaTmTeP structure, computed with PBE-GGA.

POSCAR file:
```
LaTmTeP
1.0
2.0758 1.1985 7.4647
-2.0758 1.1985 7.4647
0.0000 -2.3969 7.4647
La Tm Te P
1 1 1 1
Direct
0.0000 0.0000 0.0000
0.1936 0.1936 0.1936
0.4351 0.4351 0.4351
0.5922 0.5922 0.5922
```

Properties
Raw total energy, eV per cell: -24.00
V, Å³/cell: 111
M_tot, Bohr magnetons per cell: 0.0

---

Please write out number 3 again, unchanged.
A geometry-optimized NaH2I2 structure, computed with PBE-GGA.

POSCAR file:
```
NaH2I2
1.0
4.2323 -2.0929 0.0000
4.2323 2.0929 0.0000
-3.1397 0.0000 7.6787
Na H I
1 2 2
Direct
0.0000 0.0000 0.0000
0.4600 0.4600 0.7551
0.5400 0.5400 0.2449
0.2385 0.2385 0.7453
0.7615 0.7615 0.2547
```

Properties
Raw total energy, eV per cell: -10.85
V, Å³/cell: 136
M_tot, Bohr magnetons per cell: 0.0
Excess energy over the best structure of this formula in the dataset, eV/atom: 0.461